1.
CsErNiS3 | PBE-GGA | relaxed Values from VASP.

```
&SYSTEM
  ibrav = 0, nat = 12, ntyp = 4
/
ATOMIC_SPECIES
Cs 132.91 Cs.upf
Er 167.26 Er.upf
Ni 58.69 Ni.upf
S 32.06 S.upf
CELL_PARAMETERS angstrom
9.3660 0.0000 0.0000
0.0000 3.9276 0.0000
-3.6128 0.0000 8.8971
ATOMIC_POSITIONS angstrom
Cs 1.1075 0.9819 2.1538
Cs 4.6456 2.9457 6.7433
Er -0.0078 2.9457 7.6543
Er 5.7610 0.9819 1.2428
Ni -1.4267 0.9819 5.3116
Ni 7.1798 2.9457 3.5855
S -1.8760 0.9819 7.5494
S -0.3771 2.9457 4.8719
S 3.8894 2.9457 1.4116
S 1.8637 0.9819 7.4855
S 6.1302 0.9819 4.0252
S 7.6292 2.9457 1.3477
```


2.
CsErNiS3 | PBE-GGA | relaxed Values from VASP.

```
&SYSTEM
  ibrav = 0, nat = 24, ntyp = 4
/
ATOMIC_SPECIES
Cs 132.91 Cs.upf
Er 167.26 Er.upf
Ni 58.69 Ni.upf
S 32.06 S.upf
CELL_PARAMETERS angstrom
10.4066 0.0000 0.0000
0.0000 3.9410 0.0000
0.0000 0.0000 15.1761
ATOMIC_POSITIONS angstrom
Cs 2.5990 0.9853 0.1818
Cs 2.6043 2.9558 7.7699
Cs 7.8023 0.9853 7.4062
Cs 7.8076 2.9558 14.9943
Er 0.0204 0.9853 11.3828
Er 5.1829 2.9558 3.7947
Er 5.2237 0.9853 11.3814
Er 10.3863 2.9558 3.7934
Ni 2.5821 0.9853 4.3509
Ni 2.6212 2.9558 11.9390
Ni 7.7854 0.9853 3.2372
Ni 7.8245 2.9558 10.8252
S 0.6557 0.9853 5.5331
S 0.6911 2.9558 13.1206
S 2.5832 2.9558 3.1380
S 2.6202 0.9853 10.7261
S 4.5122 0.9853 5.5325
S 4.5477 2.9558 13.1211
S 5.8590 0.9853 2.0550
S 5.8944 2.9558 9.6436
S 7.7865 2.9558 4.4501
S 7.8235 0.9853 12.0381
S 9.7156 0.9853 2.0555
S 9.7510 2.9558 9.6431
```


3.
CsErNiSe3 | PBE-GGA | relaxed Values from VASP.

```
&SYSTEM
  ibrav = 0, nat = 24, ntyp = 4
/
ATOMIC_SPECIES
Cs 132.91 Cs.upf
Er 167.26 Er.upf
Ni 58.69 Ni.upf
Se 78.96 Se.upf
CELL_PARAMETERS angstrom
11.2348 0.0000 0.0000
0.0000 4.3026 0.0000
0.0000 0.0000 13.3173
ATOMIC_POSITIONS angstrom
Cs 2.0183 1.0757 0.0987
Cs 3.5991 3.2270 6.7573
Cs 7.6357 1.0757 6.5600
Cs 9.2165 3.2270 13.2186
Er 0.0128 1.0757 9.1211
Er 5.6046 3.2270 2.4624
Er 5.6301 1.0757 10.8549
Er 11.2220 3.2270 4.1962
Ni 2.6594 1.0757 3.9361
Ni 2.9580 3.2270 10.5948
Ni 8.2768 1.0757 2.7225
Ni 8.5754 3.2270 9.3812
Se 0.6011 3.2270 10.8932
Se 1.0143 1.0757 5.7202
Se 2.6030 3.2270 2.9881
Se 3.0144 1.0757 9.6468
Se 4.6031 3.2270 12.3789
Se 5.0163 1.0757 4.2346
Se 6.2185 3.2270 9.0827
Se 6.6317 1.0757 0.9384
Se 8.2204 3.2270 3.6705
Se 8.6317 1.0757 10.3292
Se 10.2204 3.2270 7.5971
Se 10.6337 1.0757 2.4241
```


Number 1: raw total energy -62.51 eV for the cell shown. Number 2: raw total energy -124.62 eV for the cell shown. Number 3: raw total energy -112.02 eV for the cell shown.